An optimized crystal structure of Mn2SiSbO. Source: Alexandria via LeMat-Bulk, functional PBE with a Hubbard U.

Values from the calculation:
Spin magnetization, Bohr magnetons per cell: 8.75
Raw total energy, eV per formula unit: -29.79
SG: P4/mmm (123)

```
5
Lattice="5.1773 0.0000 0.0000 0.0000 3.5081 0.0000 0.0000 0.0000 5.1773" Properties=species:S:1:pos:R:3 pbc="T T T"
Mn 0.0000 0.0000 2.5887
Mn 2.5887 0.0000 0.0000
Si 0.0000 0.0000 0.0000
Sb 2.5887 1.7541 2.5887
O 0.0000 1.7541 0.0000
```